DFT (PBE) results for Ac4Al5Pt2 after structural relaxation.

Output
- total magnetization (μB per formula unit) = 0.00
- ρ (Mg/m³) = 7.9
- formation enthalpy at 0 K (eV per atom) = -0.520
- SG = No. 10

Unit cell a=4.205 b=7.366 c=9.677 alpha=92.90 beta=90.00 gamma=90.00
Atoms (fractional coordinates):
Al1 0.000 0.442 0.704
Al2 0.000 0.206 0.165
Al3 0.000 0.794 0.835
Al4 0.000 0.558 0.296
Al5 0.000 0.500 0.000
Ac1 0.500 0.248 0.440
Ac2 0.500 0.176 0.873
Ac3 0.500 0.824 0.127
Ac4 0.500 0.752 0.560
Pt1 0.000 0.927 0.350
Pt2 0.000 0.073 0.650